# TlTe2Ru

A relaxed structure of TlTe2Ru (PBE-GGA, Alexandria via LeMat-Bulk).

Unit cell a=3.2385 b=3.2385 c=9.7808 alpha=90.00 beta=90.00 gamma=90.00
Closest atoms and distances in Å follow each position.
Fractional coordinates of all 4 atoms:
Tl  0.0000  0.0000  0.0000  4 Ru 3.22, 4 Tl 3.24
Te  0.0000  0.0000  0.3717  4 Ru 2.67
Te  0.5000  0.5000  0.7149  4 Te 3.24, 4 Tl 3.61
Ru  0.5000  0.5000  0.2310  4 Te 2.67

Calculated values
Space group: P4mm (99)

# TlTe2Ru

A relaxed structure of TlTe2Ru (PBE-GGA, Alexandria via LeMat-Bulk).

Unit cell a=9.9964 b=9.9964 c=9.9964 alpha=20.38 beta=20.38 gamma=20.38
Closest atoms and distances in Å follow each position.
Fractional coordinates of all 4 atoms:
Tl  0.0000  0.0000  0.0000  3 Ru 2.95, 3 Te 3.23
Te  0.2483  0.2483  0.2483  3 Tl 3.23, 6 Te 3.54
Te  0.4592  0.4592  0.4592  3 Ru 2.57
Ru  0.7391  0.7391  0.7391  3 Te 2.57

Calculated values
Space group: R3m (160)

# TlTeRu3

A relaxed structure of TlTeRu3 (PBE-GGA, Alexandria via LeMat-Bulk).

Unit cell a=4.8200 b=4.8200 c=4.8200 alpha=90.00 beta=90.00 gamma=90.00
Closest atoms and distances in Å follow each position.
Fractional coordinates of all 5 atoms:
Tl  0.0000  0.0000  0.0000  12 Ru 3.41
Te  0.5000  0.5000  0.5000  6 Ru 2.41
Ru  0.0000  0.5000  0.5000  2 Te 2.41
Ru  0.5000  0.0000  0.5000  2 Te 2.41
Ru  0.5000  0.5000  0.0000  2 Te 2.41

Calculated values
Space group: Pm-3m (221)

# Tl2TeRu

A relaxed structure of Tl2TeRu (PBE-GGA, Alexandria via LeMat-Bulk).

Unit cell a=5.1443 b=5.1443 c=5.1443 alpha=60.00 beta=60.00 gamma=60.00
Closest atoms and distances in Å follow each position.
Fractional coordinates of all 4 atoms:
Tl  0.2500  0.2500  0.2500  4 Ru 3.15, 4 Te 3.15
Tl  0.7500  0.7500  0.7500  4 Ru 3.15, 4 Te 3.15
Te  0.0000  0.0000  0.0000  8 Tl 3.15
Ru  0.5000  0.5000  0.5000  8 Tl 3.15

Calculated values
Space group: Fm-3m (225)

no.,V (Å³/cell),formation energy without anion corrections (eV/atom)
1,102.6,0.10
2,106.0,0.13
3,112.0,1.35
4,96.3,0.78